(1)
# Sc2AlCo | Alexandria | GGA-PBE | relaxed
# energy relative to the elements = 12 meV per atom
# final energy = -93.8 eV for the cell shown
# V = 296.8 Å³/cell
# total magnetization = 0.00 μB/cell
data_Sc2AlCo
_space_group_name_H-M_alt 'I -4 2 d'
_space_group_IT_number 122
_space_group_name_Hall 'I -4 2bw'
_cell_length_a 7.401
_cell_length_b 7.401
_cell_length_c 5.418
_cell_angle_alpha 90.00
_cell_angle_beta 90.00
_cell_angle_gamma 90.00
loop_
_atom_site_label
_atom_site_type_symbol
_atom_site_fract_x
_atom_site_fract_y
_atom_site_fract_z
Sc1 Sc 0.193 0.250 0.125
Al1 Al 0.000 0.000 0.500
Co1 Co 0.000 0.000 0.000


(2)
# BaSc3N | Alexandria | GGA-PBE | relaxed
# energy relative to the elements, uncorrected = -193 meV/atom
# final energy = -30.2 eV for the cell shown
# V = 107.3 Å³/cell
# total magnetization = 0.00 μB/cell
data_BaSc3N
_space_group_name_H-M_alt 'P m -3 m'
_space_group_IT_number 221
_space_group_name_Hall '-P 4 2 3'
_cell_length_a 4.753
_cell_length_b 4.753
_cell_length_c 4.753
_cell_angle_alpha 90.00
_cell_angle_beta 90.00
_cell_angle_gamma 90.00
loop_
_atom_site_label
_atom_site_type_symbol
_atom_site_fract_x
_atom_site_fract_y
_atom_site_fract_z
Ba1 Ba 0.000 0.000 0.000
Sc1 Sc 0.000 0.500 0.500
N1 N 0.500 0.500 0.500


Q: What is the formula in the second record?
A: BaSc3N


Q: Which formula does entry 2 have?
A: BaSc3N